(1)
First-principles (GGA-PBE) data for an optimized crystal structure of Ac2Tl3Sn2, as listed in Alexandria.

Magnetic moment: 0.0 μB/f.u.
Space group: Cmmm, No. 65
E_form: -358 meV/atom
Volume: 237.4 Å³ per cell

Unit cell a=4.7295 b=4.4486 c=11.5010 alpha=101.15 beta=90.00 gamma=90.00
Element x y z (fractional)
Sn: 0.5000 0.7084 0.4168
Sn: 0.5000 0.2916 0.5832
Tl: 0.0000 0.0000 0.0000
Tl: 0.5000 0.5694 0.1387
Tl: 0.5000 0.4306 0.8613
Ac: 0.0000 0.8380 0.6761
Ac: 0.0000 0.1620 0.3239



(2)
First-principles (GGA-PBE) data for an optimized crystal structure of NaYSnHg, as listed in Alexandria.

Magnetic moment: 0.0 μB/f.u.
Space group: F-43m, No. 216
E_form: -437 meV/atom
Volume: 103.2 Å³ per cell

Unit cell a=5.2658 b=5.2658 c=5.2658 alpha=60.00 beta=60.00 gamma=60.00
Element x y z (fractional)
Na: 0.2500 0.2500 0.2500
Y: 0.7500 0.7500 0.7500
Hg: 0.5000 0.5000 0.5000
Sn: 0.0000 0.0000 0.0000



(3)
First-principles (GGA-PBE) data for an optimized crystal structure of SrAc3Au4, as listed in Alexandria.

Magnetic moment: 0.0 μB/f.u.
Space group: Pm-3m, No. 221
E_form: -757 meV/atom
Volume: 267.4 Å³ per cell

Unit cell a=6.4425 b=6.4425 c=6.4425 alpha=90.00 beta=90.00 gamma=90.00
Element x y z (fractional)
Au: 0.5000 0.5000 0.5000
Au: 0.5000 0.0000 0.0000
Au: 0.0000 0.0000 0.5000
Au: 0.0000 0.5000 0.0000
Ac: 0.5000 0.0000 0.5000
Ac: 0.5000 0.5000 0.0000
Ac: 0.0000 0.5000 0.5000
Sr: 0.0000 0.0000 0.0000



(4)
First-principles (GGA-PBE) data for an optimized crystal structure of Nd3Zn2Ni, as listed in Alexandria.

Magnetic moment: 0.0 μB/f.u.
Space group: Pnma, No. 62
E_form: -290 meV/atom
Volume: 588.6 Å³ per cell

Unit cell a=4.6360 b=10.2012 c=12.4459 alpha=90.00 beta=90.00 gamma=90.00
Element x y z (fractional)
Zn: 0.7500 0.5174 0.2037
Zn: 0.2500 0.7905 0.9884
Zn: 0.2500 0.7095 0.4884
Zn: 0.7500 0.9826 0.7037
Zn: 0.2500 0.0174 0.2963
Zn: 0.7500 0.2095 0.0116
Zn: 0.7500 0.2905 0.5116
Zn: 0.2500 0.4826 0.7963
Nd: 0.7500 0.5652 0.6064
Nd: 0.2500 0.0652 0.8936
Nd: 0.2500 0.1069 0.5583
Nd: 0.7500 0.6069 0.9417
Nd: 0.2500 0.7827 0.7418
Nd: 0.7500 0.2173 0.2582
Nd: 0.7500 0.9348 0.1064
Nd: 0.2500 0.4348 0.3936
Nd: 0.7500 0.2827 0.7582
Nd: 0.7500 0.8931 0.4417
Nd: 0.2500 0.3931 0.0583
Nd: 0.2500 0.7173 0.2418
Ni: 0.2500 0.1325 0.1161
Ni: 0.7500 0.8675 0.8839
Ni: 0.2500 0.3675 0.6161
Ni: 0.7500 0.6325 0.3839



(5)
First-principles (GGA-PBE) data for an optimized crystal structure of Re2WCl, as listed in Alexandria.

ΔE_f (raw): 803 meV per atom
Magnetic moment: 0.0 μB/f.u.
Space group: Pmm2, No. 25
Volume: 80.2 Å³ per cell

Unit cell a=2.9270 b=3.9435 c=6.9511 alpha=90.00 beta=90.00 gamma=90.00
Element x y z (fractional)
Re: 0.0000 0.0000 0.0549
Re: 0.5000 0.5000 0.2089
W: 0.0000 0.0000 0.3927
Cl: 0.5000 0.5000 0.8436



(6)
First-principles (GGA-PBE) data for an optimized crystal structure of Ti2BN2, as listed in Alexandria.

ΔE_f (raw): -896 meV per atom
Magnetic moment: 0.0 μB/f.u.
Space group: I4/mmm, No. 139
Volume: 51.8 Å³ per cell

Unit cell a=4.1481 b=4.1481 c=4.2037 alpha=60.44 beta=60.44 gamma=90.00
Element x y z (fractional)
N: 0.7490 0.7490 0.5021
N: 0.2510 0.2510 0.4979
Ti: 0.2500 0.7500 0.5000
Ti: 0.7500 0.2500 0.5000
B: 0.0000 0.0000 0.0000



(7)
First-principles (GGA-PBE) data for an optimized crystal structure of Pm3Ho, as listed in Alexandria.

Magnetic moment: 0.0 μB/f.u.
Space group: I4/mmm, No. 139
E_form: 15 meV/atom
Volume: 134.1 Å³ per cell

Unit cell a=6.2704 b=6.2704 c=6.2704 alpha=131.84 beta=131.84 gamma=70.48
Element x y z (fractional)
Pm: 0.5000 0.5000 0.0000
Pm: 0.2500 0.7500 0.5000
Pm: 0.7500 0.2500 0.5000
Ho: 0.0000 0.0000 0.0000



(8)
First-principles (GGA-PBE) data for an optimized crystal structure of AlSiC3, as listed in Alexandria.

ΔE_f (raw): 2458 meV per atom
Magnetic moment: 0.0 μB/f.u.
Space group: Pm-3m, No. 221
Volume: 60.0 Å³ per cell

Unit cell a=3.9140 b=3.9140 c=3.9140 alpha=90.00 beta=90.00 gamma=90.00
Element x y z (fractional)
C: 0.0000 0.0000 0.5000
C: 0.0000 0.5000 0.0000
C: 0.5000 0.0000 0.0000
Al: 0.0000 0.0000 0.0000
Si: 0.5000 0.5000 0.5000



(9)
First-principles (GGA-PBE) data for an optimized crystal structure of La6SiS3Cl2, as listed in Alexandria.

ΔE_f (raw): -1784 meV per atom
Magnetic moment: 0.0 μB/f.u.
Space group: C2/m, No. 12
Volume: 316.9 Å³ per cell

Unit cell a=7.2758 b=7.2758 c=7.3308 alpha=99.54 beta=99.54 gamma=120.04
Element x y z (fractional)
Cl: 0.3325 0.6675 0.0000
Cl: 0.6675 0.3325 0.0000
S: 0.1669 0.8331 0.5000
S: 0.5000 0.5000 0.5000
S: 0.8331 0.1669 0.5000
La: 0.0893 0.4123 0.2669
La: 0.9107 0.5877 0.7331
La: 0.5877 0.9107 0.7331
La: 0.7636 0.7636 0.2653
La: 0.2364 0.2364 0.7347
La: 0.4123 0.0893 0.2669
Si: 0.0000 0.0000 0.0000



(10)
First-principles (GGA-PBE) data for an optimized crystal structure of La2MgGaTe5, as listed in Alexandria.

ΔE_f (raw): -1091 meV per atom
Magnetic moment: 0.0 μB/f.u.
Space group: Cmc2_1, No. 36
Volume: 557.3 Å³ per cell

Unit cell a=4.5589 b=9.7510 c=12.8943 alpha=90.00 beta=90.00 gamma=103.52
Element x y z (fractional)
Mg: 0.2060 0.4121 0.0135
Mg: 0.7940 0.5879 0.5135
Te: 0.6909 0.3817 0.8515
Te: 0.7124 0.4247 0.1644
Te: 0.5015 0.0031 0.2758
Te: 0.9525 0.9051 0.5697
Te: 0.0475 0.0949 0.0697
Te: 0.2876 0.5753 0.6644
Te: 0.4985 0.9969 0.7758
Te: 0.6422 0.2845 0.4984
Te: 0.3578 0.7155 0.9984
Te: 0.3091 0.6183 0.3515
Ga: 0.5641 0.1283 0.9616
Ga: 0.4359 0.8717 0.4616
La: 0.8709 0.7418 0.8037
La: 0.8858 0.7716 0.1852
La: 0.1291 0.2582 0.3037
La: 0.1142 0.2284 0.6852



(11)
First-principles (GGA-PBE) data for an optimized crystal structure of GaCoSbTe2, as listed in Alexandria.

ΔE_f (raw): 1044 meV per atom
Magnetic moment: 2.2 μB/f.u.
Space group: P4/mmm, No. 123
Volume: 149.9 Å³ per cell

Unit cell a=5.3868 b=5.3868 c=5.1657 alpha=90.00 beta=90.00 gamma=90.00
Each line ends with the local moment (μB).
Element x y z (fractional)
Co: 0.5000 0.5000 0.5000  2.18
Sb: 0.0000 0.0000 0.5000  -0.04
Te: 0.5000 0.0000 0.0000  0.04
Te: 0.0000 0.5000 0.0000  0.04
Ga: 0.0000 0.0000 0.0000  0.00



(12)
First-principles (GGA-PBE) data for an optimized crystal structure of Nb3Al3N, as listed in Alexandria.

ΔE_f (raw): -616 meV per atom
Magnetic moment: 0.0 μB/f.u.
Space group: Fd-3m, No. 227
Volume: 408.8 Å³ per cell

Unit cell a=8.3306 b=8.3306 c=8.3306 alpha=60.00 beta=60.00 gamma=60.00
Element x y z (fractional)
Al: 0.4120 0.7639 0.4120
Al: 0.8380 0.4861 0.8380
Al: 0.1250 0.6250 0.6250
Al: 0.4861 0.8380 0.8380
Al: 0.8380 0.8380 0.8380
Al: 0.6250 0.6250 0.1250
Al: 0.8380 0.8380 0.4861
Al: 0.6250 0.1250 0.6250
Al: 0.7639 0.4120 0.4120
Al: 0.4120 0.4120 0.4120
Al: 0.4120 0.4120 0.7639
Al: 0.6250 0.6250 0.6250
N: 0.6250 0.1250 0.1250
N: 0.1250 0.1250 0.1250
N: 0.1250 0.6250 0.1250
N: 0.1250 0.1250 0.6250
Nb: 0.0562 0.4438 0.0562
Nb: 0.1938 0.8062 0.8062
Nb: 0.0562 0.4438 0.4438
Nb: 0.4438 0.4438 0.0562
Nb: 0.1938 0.8062 0.1938
Nb: 0.8062 0.8062 0.1938
Nb: 0.8062 0.1938 0.1938
Nb: 0.1938 0.1938 0.8062
Nb: 0.8062 0.1938 0.8062
Nb: 0.0562 0.0562 0.4438
Nb: 0.4438 0.0562 0.4438
Nb: 0.4438 0.0562 0.0562



(13)
First-principles (GGA-PBE) data for an optimized crystal structure of ZrTiHg2, as listed in Alexandria.

Magnetic moment: 2.5 μB/f.u.
Space group: R3m, No. 160
E_form: 279 meV/atom
Volume: 92.2 Å³ per cell

Unit cell a=4.6882 b=4.6882 c=5.5467 alpha=65.00 beta=65.00 gamma=60.00
Each line ends with the local moment (μB).
Element x y z (fractional)
Zr: 0.4840 0.4840 0.5479  0.58
Hg: 0.2685 0.2685 0.1944  0.02
Hg: 0.0571 0.0571 0.8287  0.04
Ti: 0.6903 0.6903 0.9290  1.21



(14)
First-principles (GGA-PBE) data for an optimized crystal structure of ZnFe2Ag, as listed in Alexandria.

Magnetic moment: 5.0 μB/f.u.
Space group: P4/mmm, No. 123
E_form: 315 meV/atom
Volume: 56.1 Å³ per cell

Unit cell a=3.1705 b=3.1705 c=5.5837 alpha=90.00 beta=90.00 gamma=90.00
Each line ends with the local moment (μB).
Element x y z (fractional)
Fe: 0.0000 0.0000 0.4671  2.57
Fe: 0.0000 0.0000 0.0329  2.57
Ag: 0.5000 0.5000 0.7500  0.01
Zn: 0.5000 0.5000 0.2500  -0.08



(15)
First-principles (GGA-PBE) data for an optimized crystal structure of TiVFeRu, as listed in Alexandria.

Magnetic moment: 0.7 μB/f.u.
Space group: P4mm, No. 99
E_form: -372 meV/atom
Volume: 53.3 Å³ per cell

Unit cell a=2.9929 b=2.9929 c=5.9538 alpha=90.00 beta=90.00 gamma=90.00
Each line ends with the local moment (μB).
Element x y z (fractional)
Ru: 0.0000 0.0000 0.8639  0.01
Fe: 0.0000 0.0000 0.3497  1.07
V: 0.5000 0.5000 0.1174  -0.16
Ti: 0.5000 0.5000 0.5969  -0.17



(16)
First-principles (GGA-PBE) data for an optimized crystal structure of YMnRu2, as listed in Alexandria.

Magnetic moment: 3.5 μB/f.u.
Space group: P4mm, No. 99
E_form: 231 meV/atom
Volume: 69.3 Å³ per cell

Unit cell a=3.0061 b=3.0061 c=7.6725 alpha=90.00 beta=90.00 gamma=90.00
Each line ends with the local moment (μB).
Element x y z (fractional)
Ru: 0.5000 0.5000 0.2059  0.04
Ru: 0.0000 0.0000 0.0042  0.20
Mn: 0.5000 0.5000 0.7975  3.47
Y: 0.0000 0.0000 0.4925  -0.24



(17)
First-principles (GGA-PBE) data for an optimized crystal structure of VSn2SbBr, as listed in Alexandria.

ΔE_f (raw): 884 meV per atom
Magnetic moment: 0.2 μB/f.u.
Space group: P4/mmm, No. 123
Volume: 174.7 Å³ per cell

Unit cell a=5.8806 b=5.0506 c=5.8806 alpha=90.00 beta=90.00 gamma=90.00
Element x y z (fractional)
Sn: 0.0000 0.0000 0.5000
Sn: 0.5000 0.0000 0.0000
Sb: 0.0000 0.0000 0.0000
V: 0.0000 0.5000 0.0000
Br: 0.5000 0.5000 0.5000



(18)
First-principles (GGA-PBE) data for an optimized crystal structure of Ac2SbH, as listed in Alexandria.

Calculated total energy: -4.531 eV/atom
Magnetic moment: 0.0 μB/f.u.
Space group: R-3m, No. 166
Volume: 123.3 Å³ per cell

Unit cell a=4.4577 b=4.4577 c=7.6141 alpha=72.98 beta=72.98 gamma=60.00
Element x y z (fractional)
Ac: 0.2605 0.2605 0.2185
Ac: 0.7395 0.7395 0.7815
Sb: 0.5000 0.5000 0.5000
H: 0.0000 0.0000 0.0000